The following is a PBE-GGA calculation of a relaxed structure of BiB2S, from Alexandria.

a b c (Å): 4.4425 4.4425 4.4425
angles (deg): 60.00 60.00 60.00
With the nearest neighbours (Å) after each atom.
Fractional positions:
1 S 0.0000 0.0000 0.0000  8 B 2.72
2 B 0.2500 0.2500 0.2500  4 S 2.72, 4 Bi 2.72
3 B 0.7500 0.7500 0.7500  4 S 2.72, 4 Bi 2.72
4 Bi 0.5000 0.5000 0.5000  8 B 2.72

Properties
The mass density is 7.036 g cm⁻³. For the density of states at the Fermi level, the calculation gives 0.447 states/eV per atom. The calculation puts the magnetic moment at 0.00 μB per atom. For the final energy, the calculation gives -3.59 eV per atom.